Material: ReAgSeN2
Method: DFT, PBE
State: optimized geometry

Unit cell a=3.8385 b=3.8385 c=5.5182 alpha=90.00 beta=90.00 gamma=90.00
Space group P4/mmm (No. 123)
Unique sites:
Re1 0.0000 0.0000 0.0000 [1 per cell]
Ag1 0.5000 0.5000 0.5000 [1 per cell]
Se1 0.0000 0.0000 0.5000 [1 per cell]
N1 0.0000 0.5000 0.0000 [2 per cell]

Results
N(E_F): 2.52 states/eV per cell
polymorph energy (0 for the lowest one): 0 meV per atom
E: -6.657 eV/atom
formation energy from raw total energies: 41 kJ/mol of atoms